(1)
An optimized crystal structure of Zr2ScBe. Source: the Alexandria database, functional PBE.

Geometry as extended XYZ:
```
4
Lattice="5.323 0.000 0.000 1.988 4.938 0.000 -3.655 -2.469 2.979" Properties=species:S:1:pos:R:3 pbc="T T T"
Sc 2.661 0.000 1.490
Be 0.994 2.469 1.490
Zr 0.000 0.000 0.000
Zr 3.655 2.469 0.000
```

---

(2)
An optimized crystal structure of Zr2ScBe. Source: the Alexandria database, functional PBE.

Geometry as extended XYZ:
```
4
Lattice="9.412 0.006 0.004 8.858 3.182 0.004 8.858 1.546 2.781" Properties=species:S:1:pos:R:3 pbc="T T T"
Sc 20.346 3.550 2.091
Be 6.782 1.183 0.697
Zr 26.694 4.658 2.744
Zr 13.999 2.443 1.439
```

---

(3)
An optimized crystal structure of Zr2ScBe. Source: the Alexandria database, functional PBE.

Geometry as extended XYZ:
```
4
Lattice="4.874 0.000 0.000 0.000 4.874 0.000 0.000 0.000 3.311" Properties=species:S:1:pos:R:3 pbc="T T T"
Sc 0.000 2.437 1.655
Be 2.437 0.000 1.655
Zr 0.000 0.000 0.000
Zr 2.437 2.437 0.000
```

---

(4)
An optimized crystal structure of ZrSc2Be9. Source: the Alexandria database, functional PBE.

Geometry as extended XYZ:
```
12
Lattice="-0.291 3.879 -2.573 1.271 -0.077 -4.487 -6.605 -0.535 -4.287" Properties=species:S:1:pos:R:3 pbc="T T T"
Zr 0.000 0.000 0.000
Sc -1.974 3.034 -7.884
Sc -3.651 0.233 -3.463
Be 0.643 2.532 -4.710
Be -6.268 0.736 -6.637
Be -2.812 1.634 -5.674
Be -1.143 1.479 -3.991
Be -1.288 3.410 -5.272
Be -0.510 1.440 -6.225
Be -4.481 1.789 -7.356
Be -5.115 1.827 -5.122
Be -4.337 -0.143 -6.075
```

---

(5)
An optimized crystal structure of Zr2ScBe. Source: the Alexandria database, functional PBE.

Geometry as extended XYZ:
```
4
Lattice="5.317 0.008 0.000 1.968 4.939 0.000 -3.642 -2.474 2.980" Properties=species:S:1:pos:R:3 pbc="T T T"
Sc 2.658 0.004 1.490
Be 3.642 2.474 0.000
Zr 0.000 0.000 0.000
Zr 0.984 2.470 1.490
```

---

(6)
An optimized crystal structure of Zr2ScBe. Source: the Alexandria database, functional PBE.

Geometry as extended XYZ:
```
4
Lattice="3.966 0.000 0.000 0.000 3.310 0.069 0.000 3.128 6.058" Properties=species:S:1:pos:R:3 pbc="T T T"
Sc 1.983 4.828 4.595
Be 1.983 1.609 1.532
Zr 0.000 3.322 0.170
Zr 0.000 3.206 2.963
```

---

Number 1: M_tot 0.0 Bohr magnetons per cell, energy of formation from the pure elements 2.42 kcal/mol of atoms. Number 2: M_tot 0.0 Bohr magnetons per cell, energy of formation from the pure elements 3.94 kcal/mol of atoms. Number 3: M_tot 0.0 Bohr magnetons per cell, energy of formation from the pure elements 5.09 kcal/mol of atoms. Number 4: M_tot 0.0 Bohr magnetons per cell, energy of formation from the pure elements -3.44 kcal/mol of atoms. Number 5: M_tot 0.0 Bohr magnetons per cell, energy of formation from the pure elements 2.57 kcal/mol of atoms. Number 6: M_tot 0.0 Bohr magnetons per cell, energy of formation from the pure elements 3.20 kcal/mol of atoms.